The following is a PBE-GGA calculation of crystalline Ba3GaC at its relaxed geometry, from the Alexandria database.

Properties
VASP energy in eV/cell: -16.21
Crystal system: cubic
Spin magnetization in μB/f.u.: 2.9
Calculated formation energy in eV/atom: 0.36

Cell: 5.7175 5.7175 5.7175 Å, 90.00 90.00 90.00°
Last column: nearest neighbours and their distance in Å.
Sites, in units of the cell vectors:
C 0.0000 0.0000 0.0000  6 Ba 2.86
Ba 0.0000 0.0000 0.5000  2 C 2.86
Ba 0.0000 0.5000 0.0000  2 C 2.86
Ba 0.5000 0.0000 0.0000  2 C 2.86
Ga 0.5000 0.5000 0.5000  12 Ba 4.04